Here is a relaxed structure of GePt7 from OQMD via LeMat-Bulk. Energies are from PBE-GGA.

Cell and atoms, written as POSCAR:
```
GePt7
1.0
2.803 0.000 0.000
0.000 3.946 0.000
0.000 0.000 36.461
Ge Pt
2 14
Cartesian
0.701 0.986 7.796 Ge
2.102 2.959 28.665 Ge
0.701 0.986 10.415 Pt
0.701 0.986 13.266 Pt
0.701 0.986 16.112 Pt
0.701 0.986 18.942 Pt
0.701 0.986 21.775 Pt
0.701 0.986 24.628 Pt
0.701 0.986 27.597 Pt
2.102 2.959 8.864 Pt
2.102 2.959 11.833 Pt
2.102 2.959 14.686 Pt
2.102 2.959 17.519 Pt
2.102 2.959 20.349 Pt
2.102 2.959 23.195 Pt
2.102 2.959 26.046 Pt
```

Crystal system: orthorhombic
Calculated total energy in eV/cell: -94.554

---

Here is a relaxed structure of GePt from OQMD via LeMat-Bulk. Energies are from PBE-GGA.

Cell and atoms, written as POSCAR:
```
GePt
1.0
3.505 0.000 0.000
-1.752 3.035 0.000
0.000 0.000 3.272
Ge Pt
1 1
Cartesian
0.000 0.000 0.000 Ge
1.752 1.012 1.636 Pt
```

Crystal system: hexagonal
Calculated total energy in eV/cell: -11.113

---

Here is a relaxed structure of GePt124 from OQMD via LeMat-Bulk. Energies are from PBE-GGA.

Cell and atoms, written as POSCAR:
```
GePt124
1.0
0.000 9.932 9.932
9.932 0.000 9.932
9.932 9.932 0.000
Ge Pt
1 124
Cartesian
0.000 0.000 0.000 Ge
1.965 1.965 0.000 Pt
3.973 3.973 0.000 Pt
5.959 5.959 0.000 Pt
7.967 7.967 0.000 Pt
1.965 0.000 1.965 Pt
9.932 7.967 1.965 Pt
3.963 1.982 1.982 Pt
5.960 13.905 11.920 Pt
7.951 5.969 1.982 Pt
11.914 17.883 13.896 Pt
3.973 0.000 3.973 Pt
5.960 11.920 13.905 Pt
7.945 13.905 13.905 Pt
9.932 5.959 3.973 Pt
5.959 0.000 5.959 Pt
9.932 3.973 5.959 Pt
11.920 5.960 5.960 Pt
13.905 7.945 5.960 Pt
7.951 1.982 5.969 Pt
11.914 13.896 17.883 Pt
13.905 5.960 7.945 Pt
15.902 17.883 17.883 Pt
7.967 0.000 7.967 Pt
9.932 1.965 7.967 Pt
0.000 1.965 1.965 Pt
7.967 9.932 1.965 Pt
7.967 1.965 9.932 Pt
1.982 3.963 1.982 Pt
13.905 5.960 11.920 Pt
5.969 7.951 1.982 Pt
1.982 1.982 3.963 Pt
3.970 3.970 3.970 Pt
5.962 5.962 3.970 Pt
7.951 7.951 3.963 Pt
9.932 9.932 3.979 Pt
13.905 11.920 5.960 Pt
5.962 3.970 5.962 Pt
7.945 5.960 5.960 Pt
9.932 7.944 5.958 Pt
11.921 9.932 5.958 Pt
9.932 5.958 7.944 Pt
11.920 7.945 7.945 Pt
13.907 9.932 7.944 Pt
5.969 1.982 7.951 Pt
7.951 3.963 7.951 Pt
9.932 3.979 9.932 Pt
11.921 5.958 9.932 Pt
13.907 7.944 9.932 Pt
15.886 9.932 9.932 Pt
17.883 11.914 13.896 Pt
17.883 13.896 11.914 Pt
15.902 11.914 11.914 Pt
0.000 3.973 3.973 Pt
11.920 5.960 13.905 Pt
13.905 7.945 13.905 Pt
5.959 9.932 3.973 Pt
11.920 13.905 5.960 Pt
3.970 5.962 5.962 Pt
5.960 7.945 5.960 Pt
7.944 9.932 5.958 Pt
9.932 11.921 5.958 Pt
13.905 13.905 7.945 Pt
5.960 5.960 7.945 Pt
7.945 7.945 7.945 Pt
9.932 9.932 7.945 Pt
11.920 11.920 7.945 Pt
5.959 3.973 9.932 Pt
7.944 5.958 9.932 Pt
9.932 7.945 9.932 Pt
11.920 9.932 9.932 Pt
13.907 11.921 9.932 Pt
9.932 5.958 11.921 Pt
11.920 7.945 11.920 Pt
13.907 9.932 11.921 Pt
0.000 5.959 5.959 Pt
3.973 9.932 5.959 Pt
5.960 11.920 5.960 Pt
7.945 13.905 5.960 Pt
5.958 9.932 7.944 Pt
7.945 11.920 7.945 Pt
9.932 13.907 7.944 Pt
3.973 5.959 9.932 Pt
5.958 7.944 9.932 Pt
7.945 9.932 9.932 Pt
9.932 11.920 9.932 Pt
11.921 13.907 9.932 Pt
5.960 5.960 11.920 Pt
7.945 7.945 11.920 Pt
9.932 9.932 11.920 Pt
11.920 11.920 11.920 Pt
13.905 13.905 11.920 Pt
7.945 5.960 13.905 Pt
9.932 7.944 13.907 Pt
11.921 9.932 13.907 Pt
13.905 11.920 13.905 Pt
15.894 13.903 13.903 Pt
1.982 7.951 5.969 Pt
1.982 5.969 7.951 Pt
3.963 7.951 7.951 Pt
13.896 11.914 17.883 Pt
5.960 13.905 7.945 Pt
17.883 15.902 17.883 Pt
3.979 9.932 9.932 Pt
5.958 11.921 9.932 Pt
7.944 13.907 9.932 Pt
9.932 15.886 9.932 Pt
13.896 17.883 11.914 Pt
11.914 15.902 11.914 Pt
5.958 9.932 11.921 Pt
7.945 11.920 11.920 Pt
9.932 13.907 11.921 Pt
5.960 7.945 13.905 Pt
7.944 9.932 13.907 Pt
9.932 11.921 13.907 Pt
11.920 13.905 13.905 Pt
13.903 15.894 13.903 Pt
17.883 17.883 15.902 Pt
9.932 9.932 15.886 Pt
11.914 11.914 15.902 Pt
13.903 13.903 15.894 Pt
15.894 15.894 15.894 Pt
0.000 7.967 7.967 Pt
1.965 9.932 7.967 Pt
1.965 7.967 9.932 Pt
```

Crystal system: cubic
Calculated total energy in eV/cell: -756.635

---

Here is a relaxed structure of GePt17 from OQMD via LeMat-Bulk. Energies are from PBE-GGA.

Cell and atoms, written as POSCAR:
```
GePt17
1.0
4.786 0.000 0.000
0.000 5.552 0.000
-0.005 0.000 34.059
Ge Pt
2 34
Cartesian
0.793 1.388 9.283 Ge
3.988 4.164 24.777 Ge
0.000 0.000 0.000 Pt
4.784 0.007 7.014 Pt
4.784 2.770 7.014 Pt
0.000 2.776 0.000 Pt
-0.003 2.783 27.045 Pt
-0.003 5.546 27.045 Pt
0.799 4.164 2.335 Pt
0.794 4.164 29.390 Pt
0.802 1.388 2.325 Pt
0.800 1.388 29.413 Pt
0.812 4.164 9.345 Pt
1.589 0.004 4.669 Pt
1.589 2.772 4.669 Pt
1.589 0.015 24.716 Pt
1.589 2.762 24.716 Pt
1.589 2.779 31.727 Pt
1.589 5.550 31.727 Pt
2.376 1.388 7.033 Pt
2.386 1.388 27.080 Pt
2.390 4.164 0.004 Pt
2.391 1.388 34.055 Pt
2.395 4.164 6.979 Pt
2.405 4.164 27.026 Pt
3.192 0.003 2.332 Pt
3.192 2.773 2.332 Pt
3.192 2.791 9.344 Pt
3.192 5.538 9.344 Pt
3.192 2.781 29.390 Pt
3.192 5.548 29.390 Pt
3.969 1.388 24.715 Pt
3.981 4.164 4.646 Pt
3.979 4.164 31.734 Pt
3.987 1.388 4.670 Pt
3.983 1.388 31.724 Pt
```

Crystal system: monoclinic
Calculated total energy in eV/cell: -212.889

---

Here is a relaxed structure of GePt from OQMD via LeMat-Bulk. Energies are from PBE-GGA.

Cell and atoms, written as POSCAR:
```
GePt
1.0
5.610 0.000 0.000
0.000 5.610 0.000
0.000 0.000 5.610
Ge Pt
4 4
Cartesian
0.000 0.000 0.000 Ge
0.000 2.805 2.805 Ge
2.805 0.000 2.805 Ge
2.805 2.805 0.000 Ge
1.402 1.402 4.207 Pt
1.402 4.207 1.402 Pt
4.207 1.402 1.402 Pt
4.207 4.207 4.207 Pt
```

Crystal system: cubic
Calculated total energy in eV/cell: -44.372

---

Here is a relaxed structure of Ge2Pt3 from OQMD via LeMat-Bulk. Energies are from PBE-GGA.

Cell and atoms, written as POSCAR:
```
Ge2Pt3
1.0
12.388 0.000 0.000
0.000 7.646 0.000
0.000 0.000 6.972
Ge Pt
16 24
Cartesian
0.076 1.912 0.890 Ge
0.121 1.912 4.331 Ge
3.039 0.213 6.098 Ge
3.039 3.610 6.098 Ge
3.155 4.037 2.612 Ge
3.155 7.433 2.612 Ge
6.073 5.735 0.846 Ge
6.118 5.735 4.375 Ge
6.270 1.912 2.596 Ge
6.315 1.912 6.126 Ge
9.233 0.213 4.359 Ge
9.233 3.610 4.359 Ge
9.349 4.037 0.874 Ge
9.349 7.433 0.874 Ge
12.267 5.735 2.640 Ge
12.312 5.735 6.082 Ge
1.095 4.277 0.894 Pt
1.095 7.192 0.894 Pt
1.130 4.270 4.343 Pt
1.130 7.199 4.343 Pt
2.669 1.912 1.087 Pt
2.696 1.912 4.115 Pt
3.498 5.735 0.629 Pt
3.525 5.735 4.573 Pt
5.064 0.447 0.857 Pt
5.064 3.376 0.857 Pt
5.099 0.454 4.380 Pt
5.099 3.369 4.380 Pt
7.289 4.277 2.592 Pt
7.289 7.192 2.592 Pt
7.324 4.270 6.115 Pt
7.324 7.199 6.115 Pt
8.864 1.912 2.399 Pt
8.890 1.912 6.343 Pt
9.692 5.735 2.857 Pt
9.719 5.735 5.885 Pt
11.259 0.447 2.629 Pt
11.259 3.376 2.629 Pt
11.293 0.454 6.078 Pt
11.293 3.369 6.078 Pt
```

Crystal system: orthorhombic
Calculated total energy in eV/cell: -236.739

---

Here is a relaxed structure of GePt7 from OQMD via LeMat-Bulk. Energies are from PBE-GGA.

Cell and atoms, written as POSCAR:
```
GePt7
1.0
2.834 0.000 0.000
0.000 2.834 0.000
0.000 0.000 44.310
Ge Pt
2 14
Cartesian
0.708 0.708 7.534 Ge
2.125 2.125 36.776 Ge
0.708 0.708 11.379 Pt
0.708 0.708 15.316 Pt
0.708 0.708 19.217 Pt
0.708 0.708 23.135 Pt
0.708 0.708 27.045 Pt
0.708 0.708 30.949 Pt
0.708 0.708 34.990 Pt
2.125 2.125 9.320 Pt
2.125 2.125 13.361 Pt
2.125 2.125 17.265 Pt
2.125 2.125 21.175 Pt
2.125 2.125 25.093 Pt
2.125 2.125 28.993 Pt
2.125 2.125 32.931 Pt
```

Crystal system: tetragonal
Calculated total energy in eV/cell: -94.220

---

Here is a relaxed structure of GePt8 from OQMD via LeMat-Bulk. Energies are from PBE-GGA.

Cell and atoms, written as POSCAR:
```
GePt8
1.0
4.343 -1.942 0.000
4.343 1.942 0.000
-0.375 0.000 31.070
Ge Pt
2 16
Cartesian
0.391 0.000 7.513 Ge
7.920 0.000 23.557 Ge
0.082 0.000 29.689 Pt
1.245 0.000 5.059 Pt
0.997 0.000 26.924 Pt
2.133 0.000 2.284 Pt
1.896 0.000 24.017 Pt
2.675 0.000 30.604 Pt
3.810 0.000 6.102 Pt
3.592 0.000 27.833 Pt
4.719 0.000 3.236 Pt
4.501 0.000 24.968 Pt
5.636 0.000 0.466 Pt
6.414 0.000 7.052 Pt
6.178 0.000 28.786 Pt
7.314 0.000 4.146 Pt
7.066 0.000 26.011 Pt
8.228 0.000 1.381 Pt
```

Crystal system: monoclinic
Calculated total energy in eV/cell: -106.440

---

Here is a relaxed structure of PuGe2Pt2 from OQMD via LeMat-Bulk. Energies are from PBE-GGA.

Cell and atoms, written as POSCAR:
```
PuGe2Pt2
1.0
4.363 0.000 0.000
0.000 4.363 0.000
0.000 0.000 10.081
Pu Ge Pt
2 4 4
Cartesian
1.091 1.091 2.485 Pu
3.272 3.272 7.596 Pu
1.091 1.091 6.358 Ge
1.091 3.272 0.000 Ge
3.272 1.091 0.000 Ge
3.272 3.272 3.723 Ge
1.091 1.091 8.812 Pt
1.091 3.272 5.041 Pt
3.272 1.091 5.041 Pt
3.272 3.272 1.269 Pt
```

Crystal system: tetragonal
Calculated total energy in eV/cell: -78.265

---

Here is a relaxed structure of Pu2GePt6 from OQMD via LeMat-Bulk. Energies are from PBE-GGA.

Cell and atoms, written as POSCAR:
```
Pu2GePt6
1.0
5.667 0.000 0.000
-2.833 4.907 0.000
0.000 0.000 5.977
Pu Ge Pt
2 1 6
Cartesian
0.000 3.272 2.076 Pu
2.833 1.636 3.900 Pu
0.000 0.000 2.988 Ge
0.000 1.697 4.845 Pt
-1.364 4.059 4.845 Pt
1.469 0.848 1.132 Pt
1.364 4.059 4.845 Pt
4.197 0.848 1.132 Pt
2.833 3.211 1.132 Pt
```

Crystal system: trigonal
Calculated total energy in eV/cell: -75.981

---

Here is a relaxed structure of RbGePt from OQMD via LeMat-Bulk. Energies are from PBE-GGA.

Cell and atoms, written as POSCAR:
```
RbGePt
1.0
7.103 0.000 0.000
0.000 7.103 0.000
0.000 0.000 7.103
Rb Ge Pt
4 4 4
Cartesian
0.000 0.000 0.000 Rb
0.000 3.551 3.551 Rb
3.551 0.000 3.551 Rb
3.551 3.551 0.000 Rb
1.776 1.776 5.327 Ge
1.776 5.327 1.776 Ge
5.327 1.776 1.776 Ge
5.327 5.327 5.327 Ge
1.776 1.776 1.776 Pt
1.776 5.327 5.327 Pt
5.327 1.776 5.327 Pt
5.327 5.327 1.776 Pt
```

Crystal system: cubic
Calculated total energy in eV/cell: -31.975

---

Here is a relaxed structure of RbGePt from OQMD via LeMat-Bulk. Energies are from PBE-GGA.

Cell and atoms, written as POSCAR:
```
RbGePt
1.0
6.857 0.000 0.000
0.000 6.857 0.000
0.000 0.000 6.857
Rb Ge Pt
4 4 4
Cartesian
0.000 0.000 0.000 Rb
0.000 3.428 3.428 Rb
3.428 0.000 3.428 Rb
3.428 3.428 0.000 Rb
1.714 1.714 5.142 Ge
1.714 5.142 1.714 Ge
5.142 1.714 1.714 Ge
5.142 5.142 5.142 Ge
0.000 0.000 3.428 Pt
0.000 3.428 0.000 Pt
3.428 0.000 0.000 Pt
3.428 3.428 3.428 Pt
```

Crystal system: cubic
Calculated total energy in eV/cell: -40.063